# 1
Computed, not measured: crystalline InGe5Pt3 at its relaxed geometry at the GGA-PBE level of DFT.

Unit cell a=5.350 b=5.350 c=7.343 alpha=90.00 beta=90.00 gamma=120.00
Sites, in units of the cell vectors:
In  0.000  0.000  0.000
Ge  0.000  0.000  0.500
Ge  0.333  0.667  0.193
Ge  0.333  0.667  0.807
Ge  0.667  0.333  0.193
Ge  0.667  0.333  0.807
Pt  0.000  0.500  0.500
Pt  0.500  0.000  0.500
Pt  0.500  0.500  0.500

Values from the calculation:
E: -0.360 Ry per atom
magnetic moment: 0.01 μB/f.u.

# 2
Computed, not measured: crystalline Dy2ErMg3AlGa2 at its relaxed geometry at the GGA-PBE level of DFT.

Unit cell a=4.493 b=7.250 c=7.250 alpha=119.83 beta=90.00 gamma=90.00
Sites, in units of the cell vectors:
Dy  0.000  0.217  0.783
Dy  0.000  0.783  0.217
Er  0.000  0.348  0.348
Mg  0.500  0.026  0.026
Mg  0.500  0.538  0.782
Mg  0.500  0.782  0.538
Al  0.000  0.781  0.781
Ga  0.500  0.117  0.449
Ga  0.500  0.449  0.117

Values from the calculation:
E: -0.262 Ry per atom
magnetic moment: 0.00 μB/f.u.

# 3
Computed, not measured: crystalline Gd2SbN at its relaxed geometry at the GGA-PBE level of DFT.

Unit cell a=4.042 b=4.042 c=5.783 alpha=90.00 beta=90.00 gamma=90.00
Sites, in units of the cell vectors:
Gd  0.000  0.000  0.000
Gd  0.500  0.500  0.500
Sb  0.000  0.000  0.500
N  0.500  0.500  0.000

Values from the calculation:
E: -0.446 Ry per atom
magnetic moment: 0.00 μB/f.u.

Q: Which formula does entry 3 have?
A: Gd2SbN

Q: The highest E belongs to which entry?
A: Dy2ErMg3AlGa2